(1)
The following is a PBE-GGA calculation of a relaxed structure of Nd2Ga5Os, from the Alexandria database.

Its total energy is -77.9 eV for the cell shown. The total moment is 0.00 μB/cell.

The structure belongs to space group I4mm (No. 107); the cell edges are 6.168, 6.168 and 9.012 Å and the angles 90.00°, 90.00° and 90.00°. The distinct sites, in fractional coordinates, are Nd at (0.000, 0.500, 0.000), Ga at (0.000, 0.000, 0.024), Ga at (0.214, 0.214, 0.246) and Os at (0.000, 0.000, 0.752).

---

(2)
The following is a PBE-GGA calculation of a relaxed structure of LiAlHIr2, from the Alexandria database.

Its total energy is -28.8 eV for the cell shown. The total moment is 0.00 μB/cell.

The structure belongs to space group P4/mmm (No. 123); the cell edges are 4.098, 4.098 and 3.234 Å and the angles 90.00°, 90.00° and 90.00°. The distinct sites, in fractional coordinates, are Li at (0.000, 0.000, 0.000), Al at (0.500, 0.500, 0.000), H at (0.000, 0.000, 0.500) and Ir at (0.000, 0.500, 0.500).

---

(3)
The following is a PBE-GGA calculation of a relaxed structure of Ta2PIr, from the Alexandria database.

Its total energy is -77.9 eV for the cell shown. The total moment is 0.00 μB/cell.

The structure belongs to space group I-4m2 (No. 119); the cell edges are 3.746, 3.746 and 9.066 Å and the angles 90.00°, 90.00° and 90.00°. The distinct sites, in fractional coordinates, are Ta at (0.000, 0.000, 0.000), Ta at (0.000, 0.500, 0.250), P at (0.000, 0.000, 0.500) and Ir at (0.000, 0.500, 0.750).

---

(4)
The following is a PBE-GGA calculation of a relaxed structure of Ca2TcSb, from the Alexandria database.

Its total energy is -36.3 eV for the cell shown. The value obtained for the formation energy without anion corrections is 0.329 eV per formula unit. The total moment is 3.19 μB/cell.

The structure belongs to space group I4/mmm (No. 139); the cell edges are 4.572, 4.572 and 8.992 Å and the angles 90.00°, 90.00° and 90.00°. The distinct sites, in fractional coordinates, are Ca at (0.000, 0.500, 0.250), Tc at (0.000, 0.000, 0.000) and Sb at (0.000, 0.000, 0.500).

---

(5)
The following is a PBE-GGA calculation of a relaxed structure of Sc3Cl2, from the Alexandria database.

Its total energy is -211.1 eV for the cell shown. The value obtained for the formation energy without anion corrections is -3.695 eV per formula unit. The total moment is 0.02 μB/cell.

The structure belongs to space group Fdd2 (No. 43); the cell edges are 10.674, 14.108 and 5.637 Å and the angles 90.00°, 90.00° and 90.00°. The distinct sites, in fractional coordinates, are Sc at (0.000, 0.000, 0.000), Sc at (0.120, 0.064, 0.488) and Cl at (0.024, 0.328, 0.267).

---

(6)
The following is a PBE-GGA calculation of a relaxed structure of Ho5ErTm4, from the Alexandria database.

Its total energy is -45.4 eV for the cell shown. The value obtained for the energy above the most stable polymorph in this dataset is 0 meV/atom. The total moment is 0.00 μB/cell.

The structure belongs to space group P1 (No. 1); the cell edges are 6.187, 6.606 and 9.058 Å and the angles 72.40°, 89.99° and 62.09°. The distinct sites, in fractional coordinates, are Ho at (0.000, 0.000, 0.000), Ho at (0.066, 0.200, 0.301), Ho at (0.266, 0.800, 0.701), Ho at (0.599, 0.800, 0.200), Ho at (0.667, 0.000, 0.501), Er at (0.199, 0.600, 0.400), Tm at (0.399, 0.200, 0.801), Tm at (0.467, 0.400, 0.100), Tm at (0.799, 0.401, 0.601) and Tm at (0.866, 0.600, 0.900).

---

(7)
The following is a PBE-GGA calculation of a relaxed structure of Ac2La4Pm, from the Alexandria database.

Its total energy is -58.1 eV for the cell shown. The value obtained for the energy above the most stable polymorph in this dataset is 493 meV/atom. The total moment is 1.35 μB/cell.

The structure belongs to space group I4/mmm (No. 139); the cell edges are 5.801, 5.801 and 18.615 Å and the angles 90.00°, 90.00° and 90.00°. The distinct sites, in fractional coordinates, are Ac at (0.000, 0.000, 0.126), La at (0.000, 0.000, 0.325), La at (0.000, 0.500, 0.000) and Pm at (0.000, 0.000, 0.500).

---

(8)
The following is a PBE-GGA calculation of a relaxed structure of YSeBr2, from the Alexandria database.

Its total energy is -16.4 eV for the cell shown. The value obtained for the energy above the most stable polymorph in this dataset is 580 meV/atom. The value obtained for the formation energy without anion corrections is -3.144 eV per formula unit. The total moment is 0.45 μB/cell.

The structure belongs to space group P4/mmm (No. 123); the cell edges are 4.597, 4.597 and 4.756 Å and the angles 90.00°, 90.00° and 90.00°. The distinct sites, in fractional coordinates, are Y at (0.000, 0.000, 0.000), Se at (0.500, 0.500, 0.000) and Br at (0.000, 0.500, 0.500).